(1)
A plane-wave DFT calculation with PBE-GGA was carried out for a relaxed PuUPaTc crystal.

Calculated values
Calculated formation energy, kJ/mol of formula units: 32.6

The structure in CIF format:
```
data_PuUPaTc
_cell_length_a 6.900
_cell_length_b 6.900
_cell_length_c 6.900
_cell_angle_alpha 90.00
_cell_angle_beta 90.00
_cell_angle_gamma 90.00
_space_group_name_H-M_alt 'F -4 3 m'
_space_group_IT_number 216
_space_group_name_Hall 'F -4 2 3'
loop_
_atom_site_label
_atom_site_fract_x
_atom_site_fract_y
_atom_site_fract_z
Pu1 0.000 0.000 0.000
U1 0.250 0.250 0.250
Pa1 0.250 0.250 0.750
Tc1 0.000 0.000 0.500
```

(2)
A plane-wave DFT calculation with PBE-GGA was carried out for a relaxed PuPaVTc crystal.

Calculated values
Calculated formation energy, kJ/mol of formula units: 50.1

The structure in CIF format:
```
data_PuPaVTc
_cell_length_a 6.808
_cell_length_b 6.808
_cell_length_c 6.808
_cell_angle_alpha 90.00
_cell_angle_beta 90.00
_cell_angle_gamma 90.00
_space_group_name_H-M_alt 'F -4 3 m'
_space_group_IT_number 216
_space_group_name_Hall 'F -4 2 3'
loop_
_atom_site_label
_atom_site_fract_x
_atom_site_fract_y
_atom_site_fract_z
Pu1 0.000 0.000 0.000
Pa1 0.000 0.000 0.500
V1 0.250 0.250 0.250
Tc1 0.250 0.250 0.750
```

(3)
A plane-wave DFT calculation with PBE-GGA was carried out for a relaxed PuPaTcW crystal.

Calculated values
Calculated formation energy, kJ/mol of formula units: 90.9

The structure in CIF format:
```
data_PuPaTcW
_cell_length_a 6.857
_cell_length_b 6.857
_cell_length_c 6.857
_cell_angle_alpha 90.00
_cell_angle_beta 90.00
_cell_angle_gamma 90.00
_space_group_name_H-M_alt 'F -4 3 m'
_space_group_IT_number 216
_space_group_name_Hall 'F -4 2 3'
loop_
_atom_site_label
_atom_site_fract_x
_atom_site_fract_y
_atom_site_fract_z
Pu1 0.000 0.000 0.000
Pa1 0.000 0.000 0.500
Tc1 0.250 0.250 0.750
W1 0.250 0.250 0.250
```

(4)
A plane-wave DFT calculation with PBE-GGA was carried out for a relaxed PuPaZnTc crystal.

Calculated values
Calculated formation energy, kJ/mol of formula units: 2.8

The structure in CIF format:
```
data_PuPaZnTc
_cell_length_a 6.920
_cell_length_b 6.920
_cell_length_c 6.920
_cell_angle_alpha 90.00
_cell_angle_beta 90.00
_cell_angle_gamma 90.00
_space_group_name_H-M_alt 'F -4 3 m'
_space_group_IT_number 216
_space_group_name_Hall 'F -4 2 3'
loop_
_atom_site_label
_atom_site_fract_x
_atom_site_fract_y
_atom_site_fract_z
Pu1 0.000 0.000 0.000
Pa1 0.000 0.000 0.500
Zn1 0.250 0.250 0.250
Tc1 0.250 0.250 0.750
```

(5)
A plane-wave DFT calculation with PBE-GGA was carried out for a relaxed Pu2Pa3Te8 crystal.

Calculated values
Uncorrected formation energy, eV per atom: -0.813

The structure in CIF format:
```
data_Pu2Pa3Te8
_cell_length_a 15.762
_cell_length_b 8.683
_cell_length_c 7.442
_cell_angle_alpha 90.00
_cell_angle_beta 107.81
_cell_angle_gamma 90.00
_space_group_name_H-M_alt 'C 1 2/m 1'
_space_group_IT_number 12
loop_
_space_group_symop_operation_xyz
'x,y,z'
'-x,-y,-z'
'-x,y,-z'
'x,-y,z'
'x+1/2,y+1/2,z'
'-x+1/2,-y+1/2,-z'
'-x+1/2,y+1/2,-z'
'x+1/2,-y+1/2,z'
loop_
_atom_site_label
_atom_site_fract_x
_atom_site_fract_y
_atom_site_fract_z
Pu1 0.246 0.000 0.332
Pa1 0.000 0.000 0.500
Pa2 0.000 0.255 0.000
Te1 0.117 0.500 0.910
Te2 0.118 0.253 0.415
Te3 0.122 0.000 0.910
```

(6)
A plane-wave DFT calculation with PBE-GGA was carried out for a relaxed PuPa2Te5 crystal.

Calculated values
ΔE to the lowest computed polymorph, eV/f.u.: 7.53
Uncorrected formation energy, eV per atom: 0.041

The structure in CIF format:
```
data_PuPa2Te5
_cell_length_a 7.379
_cell_length_b 7.379
_cell_length_c 5.292
_cell_angle_alpha 90.00
_cell_angle_beta 90.00
_cell_angle_gamma 90.00
_space_group_name_H-M_alt 'P 4/m m m'
_space_group_IT_number 123
_space_group_name_Hall '-P 4 2'
loop_
_atom_site_label
_atom_site_fract_x
_atom_site_fract_y
_atom_site_fract_z
Pu1 0.000 0.000 0.000
Pa1 0.000 0.500 0.500
Te1 0.000 0.000 0.500
Te2 0.279 0.279 0.000
```

(7)
A plane-wave DFT calculation with PBE-GGA was carried out for a relaxed PuPa2Te4 crystal.

Calculated values
ΔE to the lowest computed polymorph, eV/f.u.: 0.00
Uncorrected formation energy, eV per atom: -0.850

The structure in CIF format:
```
data_PuPa2Te4
_cell_length_a 9.272
_cell_length_b 9.272
_cell_length_c 9.348
_cell_angle_alpha 90.00
_cell_angle_beta 90.00
_cell_angle_gamma 90.00
_space_group_name_H-M_alt 'I -4 2 d'
_space_group_IT_number 122
_space_group_name_Hall 'I -4 2bw'
loop_
_atom_site_label
_atom_site_fract_x
_atom_site_fract_y
_atom_site_fract_z
Pu1 0.000 0.000 0.000
Pa1 0.122 0.750 0.625
Te1 0.077 0.674 0.951
```

(8)
A plane-wave DFT calculation with PBE-GGA was carried out for a relaxed PuPaTe crystal.

Calculated values
ΔE to the lowest computed polymorph, eV/f.u.: 0.00
Uncorrected formation energy, eV per atom: -0.412

The structure in CIF format:
```
data_PuPaTe
_cell_length_a 4.109
_cell_length_b 4.109
_cell_length_c 9.100
_cell_angle_alpha 90.00
_cell_angle_beta 90.00
_cell_angle_gamma 90.00
_space_group_name_H-M_alt 'I 4 m m'
_space_group_IT_number 107
_space_group_name_Hall 'I 4 -2'
loop_
_atom_site_label
_atom_site_fract_x
_atom_site_fract_y
_atom_site_fract_z
Pu1 0.000 0.000 0.000
Pa1 0.000 0.000 0.715
Te1 0.000 0.000 0.359
```

(9)
A plane-wave DFT calculation with PBE-GGA was carried out for a relaxed PuPa2Te5 crystal.

Calculated values
ΔE to the lowest computed polymorph, eV/f.u.: 0.00
Uncorrected formation energy, eV per atom: -0.899

The structure in CIF format:
```
data_PuPa2Te5
_cell_length_a 8.170
_cell_length_b 8.170
_cell_length_c 14.189
_cell_angle_alpha 90.00
_cell_angle_beta 90.00
_cell_angle_gamma 90.00
_space_group_name_H-M_alt 'I 4/m c m'
_space_group_IT_number 140
_space_group_name_Hall '-I 4 2c'
loop_
_atom_site_label
_atom_site_fract_x
_atom_site_fract_y
_atom_site_fract_z
Pu1 0.000 0.000 0.250
Pa1 0.144 0.356 0.000
Te1 0.000 0.000 0.000
Te2 0.158 0.342 0.353
```

(10)
A plane-wave DFT calculation with PBE-GGA was carried out for a relaxed PuPa2Te3 crystal.

Calculated values
Uncorrected formation energy, eV per atom: -0.746

The structure in CIF format:
```
data_PuPa2Te3
_cell_length_a 6.204
_cell_length_b 12.634
_cell_length_c 9.006
_cell_angle_alpha 90.00
_cell_angle_beta 94.73
_cell_angle_gamma 90.00
_space_group_name_H-M_alt 'P 1 21/c 1'
_space_group_IT_number 14
loop_
_space_group_symop_operation_xyz
'x,y,z'
'-x,-y,-z'
'-x,y+1/2,-z+1/2'
'x,-y+1/2,z+1/2'
loop_
_atom_site_label
_atom_site_fract_x
_atom_site_fract_y
_atom_site_fract_z
Pu1 0.237 0.086 0.114
Pa1 0.209 0.079 0.604
Pa2 0.214 0.743 0.109
Te1 0.258 0.582 0.368
Te2 0.279 0.248 0.863
Te3 0.282 0.585 0.856
```

In the order shown, the computed V values come out to 329 316 322 331 970 288 804 154 947 703 Å³ per cell.
In the order shown, the computed M_tot values come out to 28.0 11.9 15.8 20.7 30.1 8.8 38.1 11.9 32.0 32.6 Bohr magnetons per cell.